VASP calculation (PBE-GGA) on crystalline Pr2Sn2S2O5 at its relaxed geometry.

a b c (Å): 12.3739 12.3739 12.3739
angles (deg): 161.50 161.50 26.27
Element x y z (fractional)
O  0.0000  0.0000  0.0000
O  0.6056  0.1056  0.5000
O  0.8944  0.3944  0.5000
O  0.1056  0.6056  0.5000
O  0.3944  0.8944  0.5000
Pr  0.3283  0.3283  0.0000
Pr  0.6717  0.6717  0.0000
S  0.2051  0.2051  0.0000
S  0.7949  0.7949  0.0000
Sn  0.0801  0.0801  0.0000
Sn  0.9199  0.9199  0.0000

## Properties
* E: -6.641 eV per atom

***

VASP calculation (PBE-GGA) on crystalline NaW3N5 at its relaxed geometry.

a b c (Å): 5.2717 5.2717 5.5285
angles (deg): 90.00 90.00 120.00
Element x y z (fractional)
N  0.6667  0.3333  0.2532
N  0.3333  0.6667  0.2532
N  0.0000  0.0000  0.5000
N  0.6667  0.3333  0.7468
N  0.3333  0.6667  0.7468
Na  0.0000  0.0000  0.0000
W  0.5000  0.0000  0.5000
W  0.0000  0.5000  0.5000
W  0.5000  0.5000  0.5000

## Properties
* E: -8.491 eV per atom

***

VASP calculation (PBE-GGA) on crystalline Ac2Tm3Pb4 at its relaxed geometry.

a b c (Å): 9.5902 9.5902 9.1025
angles (deg): 90.00 90.00 135.81
Element x y z (fractional)
Ac  0.1114  0.8886  0.0877
Ac  0.6114  0.3886  0.4123
Ac  0.3886  0.6114  0.5877
Ac  0.8886  0.1114  0.9123
Pb  0.6871  0.3129  0.0511
Pb  0.2121  0.2879  0.2500
Pb  0.7121  0.7879  0.2500
Pb  0.1871  0.8129  0.4489
Pb  0.8129  0.1871  0.5511
Pb  0.2879  0.2121  0.7500
Pb  0.7879  0.7121  0.7500
Pb  0.3129  0.6871  0.9489
Tm  0.5000  0.5000  0.0000
Tm  0.0408  0.4592  0.2500
Tm  0.5408  0.9592  0.2500
Tm  0.0000  0.0000  0.5000
Tm  0.4592  0.0408  0.7500
Tm  0.9592  0.5408  0.7500

## Properties
* E: -4.541 eV per atom

***

VASP calculation (PBE-GGA) on crystalline NaPuHg6 at its relaxed geometry.

a b c (Å): 5.2394 6.6998 6.6998
angles (deg): 60.03 90.00 90.00
Each line ends with the local moment (μB).
Element x y z (fractional)
Hg  0.5000  0.5856  0.0792  0.00
Hg  0.0000  0.9152  0.4189  0.00
Hg  0.5000  0.5855  0.5855  0.00
Hg  0.5000  0.0792  0.5856  0.00
Hg  0.0000  0.4189  0.9152  0.00
Hg  0.0000  0.9155  0.9155  0.00
Na  0.0000  0.4164  0.4164  0.00
Pu  0.5000  0.0835  0.0835  0.11

## Properties
* E: -2.019 eV per atom

***

VASP calculation (PBE-GGA) on crystalline PmZr at its relaxed geometry.

a b c (Å): 9.2392 6.7936 5.4706
angles (deg): 90.00 90.00 100.66
Element x y z (fractional)
Pm  0.6904  0.1708  0.0000
Pm  0.3205  0.3244  0.0000
Pm  0.3276  0.8384  0.0000
Pm  0.5684  0.3978  0.5000
Pm  0.1985  0.5514  0.5000
Pm  0.5613  0.8839  0.5000
Zr  0.9853  0.5086  0.0000
Zr  0.6994  0.6803  0.0000
Zr  0.9980  0.9895  0.0000
Zr  0.1895  0.0419  0.5000
Zr  0.9036  0.2136  0.5000
Zr  0.8909  0.7327  0.5000

## Properties
* formation enthalpy at 0 K: 0.2 eV/f.u.

***

VASP calculation (PBE-GGA) on crystalline PuCdGe at its relaxed geometry.

a b c (Å): 4.7389 4.7389 4.7389
angles (deg): 60.00 60.00 60.00
Element x y z (fractional)
Cd  0.2500  0.2500  0.2500
Ge  0.0000  0.0000  0.0000
Pu  0.7500  0.7500  0.7500

## Properties
* E: -6.785 eV per atom

***

VASP calculation (PBE-GGA) on crystalline HfHgPt at its relaxed geometry.

a b c (Å): 5.1179 5.1179 5.1179
angles (deg): 139.36 139.36 58.82
Element x y z (fractional)
Hf  0.0099  0.0099  0.0000
Hg  0.3307  0.3307  0.0000
Pt  0.6594  0.6594  0.0000

## Properties
* formation enthalpy at 0 K: -1.6 eV/f.u.

***

VASP calculation (PBE-GGA) on crystalline ScFePbAu at its relaxed geometry.

a b c (Å): 4.7687 4.7687 4.7687
angles (deg): 60.00 60.00 60.00
Element x y z (fractional)
Au  0.2500  0.2500  0.2500
Fe  0.7500  0.7500  0.7500
Pb  0.0000  0.0000  0.0000
Sc  0.5000  0.5000  0.5000

## Properties
* E: -5.440 eV per atom

***

| no. | spin magnetization (μB/cell) |
| --- | --- |
| 1 | 0.0 |
| 2 | 0.0 |
| 3 | 0.0 |
| 4 | 0.1 |
| 5 | 0.0 |
| 6 | 6.0 |
| 7 | 0.0 |
| 8 | 2.0 |